Record 1
# Zr2Zn2Au

A relaxed Zr2Zn2Au crystal (PBE-GGA, Alexandria via LeMat-Bulk). Values from VASP.

The structure in Quantum ESPRESSO input format:
```
&SYSTEM
  ibrav = 0, nat = 10, ntyp = 3
/
ATOMIC_SPECIES
Zr 91.22 Zr.upf
Zn 65.41 Zn.upf
Au 196.97 Au.upf
ATOMIC_POSITIONS angstrom
Zr -0.6228 0.0000 2.7603
Zr 1.5017 0.0000 0.6196
Zr 5.6983 0.0000 7.4885
Zr 7.8227 0.0000 5.3477
Zn 2.5018 0.0000 3.4158
Zn 4.3640 0.0000 1.0459
Zn 2.8360 0.0000 7.0621
Zn 4.6981 0.0000 4.6922
Au 0.6538 0.0000 5.5834
Au 6.5462 0.0000 2.5247
CELL_PARAMETERS angstrom
5.0582 -2.2662 0.0000
5.0582 2.2662 0.0000
-2.9165 0.0000 8.1080
```

- Space-group type: No. 12
- Total magnetic moment: 0.00 μB/f.u.
- ΔH_f (0 K): -317.9 meV/atom
- Crystal system: monoclinic
- Calculated volume: 186 Å³ per cell
- Raw total energy: -4.902 eV per atom
- Distance to the lowest polymorph of the same formula: 60 meV per atom

Record 2
# Zr2ZnAu

A relaxed Zr2ZnAu crystal (PBE-GGA, Alexandria via LeMat-Bulk). Values from VASP.

The structure in Quantum ESPRESSO input format:
```
&SYSTEM
  ibrav = 0, nat = 4, ntyp = 3
/
ATOMIC_SPECIES
Zr 91.22 Zr.upf
Zn 65.41 Zn.upf
Au 196.97 Au.upf
ATOMIC_POSITIONS angstrom
Zr 2.1411 0.0000 2.0982
Zr 0.0000 2.1411 2.0982
Zn 0.0000 0.0000 0.0000
Au 0.0000 0.0000 4.1963
CELL_PARAMETERS angstrom
-2.1411 2.1411 4.1963
2.1411 -2.1411 4.1963
2.1411 2.1411 -4.1963
```

- Space-group type: No. 139
- Total magnetic moment: 0.00 μB/f.u.
- ΔH_f (0 K): -363.6 meV/atom
- Crystal system: tetragonal
- Calculated volume: 77 Å³ per cell
- Raw total energy: -5.775 eV per atom

Record 3
# ZrZnAu2

A relaxed ZrZnAu2 crystal (PBE-GGA, Alexandria via LeMat-Bulk). Values from VASP.

The structure in Quantum ESPRESSO input format:
```
&SYSTEM
  ibrav = 0, nat = 4, ntyp = 3
/
ATOMIC_SPECIES
Zr 91.22 Zr.upf
Zn 65.41 Zn.upf
Au 196.97 Au.upf
ATOMIC_POSITIONS angstrom
Zr 0.0000 0.0000 0.0000
Zn 1.4598 2.3462 3.9263
Au 1.4678 0.0000 2.7833
Au 1.4710 2.3462 1.1455
CELL_PARAMETERS angstrom
2.9410 0.0000 0.0000
0.0000 4.6924 0.0000
-0.0079 0.0000 5.4408
```

- Space-group type: No. 6
- Total magnetic moment: 0.00 μB/f.u.
- ΔH_f (0 K): -330.0 meV/atom
- Crystal system: monoclinic
- Calculated volume: 75 Å³ per cell
- Raw total energy: -4.424 eV per atom

Record 4
# Zr2ZnAu

A relaxed Zr2ZnAu crystal (PBE-GGA, Alexandria via LeMat-Bulk). Values from VASP.

The structure in Quantum ESPRESSO input format:
```
&SYSTEM
  ibrav = 0, nat = 4, ntyp = 3
/
ATOMIC_SPECIES
Zr 91.22 Zr.upf
Zn 65.41 Zn.upf
Au 196.97 Au.upf
ATOMIC_POSITIONS angstrom
Zr 0.0000 0.0000 0.0000
Zr 2.1415 0.0000 3.5826
Zn 2.1415 0.0000 6.4378
Au 0.0000 0.0000 8.0482
CELL_PARAMETERS angstrom
4.2830 0.0000 0.0000
0.0000 1.6775 5.5231
0.0000 -1.6775 5.5231
```

- Space-group type: No. 38
- Total magnetic moment: 0.00 μB/f.u.
- ΔH_f (0 K): -360.4 meV/atom
- Crystal system: orthorhombic
- Calculated volume: 79 Å³ per cell
- Raw total energy: -5.772 eV per atom

Record 5
# Zr2Zn15Au2

A relaxed Zr2Zn15Au2 crystal (PBE-GGA, Alexandria via LeMat-Bulk). Values from VASP.

The structure in Quantum ESPRESSO input format:
```
&SYSTEM
  ibrav = 0, nat = 19, ntyp = 3
/
ATOMIC_SPECIES
Zr 91.22 Zr.upf
Zn 65.41 Zn.upf
Au 196.97 Au.upf
ATOMIC_POSITIONS angstrom
Zr 0.0000 0.0000 2.0466
Zr 0.0000 0.0000 10.9790
Zn -2.2238 -1.2839 4.3419
Zn 0.0000 -2.6820 4.1353
Zn -2.3227 1.3410 4.1353
Zn -1.3432 -2.3265 6.5128
Zn -2.6864 0.0000 6.5128
Zn -2.3227 -1.3410 8.8903
Zn -2.2238 1.2839 8.6837
Zn 1.3432 -2.3265 6.5128
Zn 0.0000 2.5678 4.3419
Zn -1.3432 2.3265 6.5128
Zn 2.3227 1.3410 4.1353
Zn 2.6864 0.0000 6.5128
Zn 1.3432 2.3265 6.5128
Zn 2.3227 -1.3410 8.8903
Zn 0.0000 2.6820 8.8903
Au 0.0000 0.0000 5.0507
Au 0.0000 0.0000 7.9749
CELL_PARAMETERS angstrom
4.4476 2.5678 4.3419
-4.4476 2.5678 4.3419
0.0000 -5.1357 4.3419
```

- Space-group type: No. 166
- Total magnetic moment: 0.00 μB/f.u.
- ΔH_f (0 K): -179.9 meV/atom
- Crystal system: trigonal
- Calculated volume: 298 Å³ per cell
- Raw total energy: -2.430 eV per atom

Record 6
# ZrZn3Au4

A relaxed ZrZn3Au4 crystal (PBE-GGA, Alexandria via LeMat-Bulk). Values from VASP.

The structure in Quantum ESPRESSO input format:
```
&SYSTEM
  ibrav = 0, nat = 8, ntyp = 3
/
ATOMIC_SPECIES
Zr 91.22 Zr.upf
Zn 65.41 Zn.upf
Au 196.97 Au.upf
ATOMIC_POSITIONS angstrom
Zr 0.0000 0.0000 0.0000
Zn 0.0000 0.0000 5.9967
Zn 0.0000 0.0000 11.8577
Zn 0.0000 0.0000 17.7187
Au 0.0000 0.0000 3.0203
Au 0.0000 0.0000 9.1702
Au 0.0000 0.0000 14.5452
Au 0.0000 0.0000 20.6950
CELL_PARAMETERS angstrom
2.2571 1.3031 7.9051
-2.2571 1.3031 7.9051
0.0000 -2.6063 7.9051
```

- Space-group type: No. 166
- Total magnetic moment: 0.00 μB/f.u.
- ΔH_f (0 K): -300.0 meV/atom
- Crystal system: trigonal
- Calculated volume: 140 Å³ per cell
- Raw total energy: -3.485 eV per atom

Record 7
# ZrZn4Au5

A relaxed ZrZn4Au5 crystal (PBE-GGA, Alexandria via LeMat-Bulk). Values from VASP.

The structure in Quantum ESPRESSO input format:
```
&SYSTEM
  ibrav = 0, nat = 10, ntyp = 3
/
ATOMIC_SPECIES
Zr 91.22 Zr.upf
Zn 65.41 Zn.upf
Au 196.97 Au.upf
ATOMIC_POSITIONS angstrom
Zr 0.0000 0.0000 0.0000
Zn 0.0000 0.0000 3.5266
Zn 0.0000 0.0000 6.7482
Zn 0.0000 0.0000 9.9433
Zn 0.0000 0.0000 13.1648
Au 1.5960 1.5960 1.9337
Au 1.5960 1.5960 5.1448
Au 1.5960 1.5960 8.3457
Au 1.5960 1.5960 11.5466
Au 1.5960 1.5960 14.7578
CELL_PARAMETERS angstrom
3.1920 0.0000 0.0000
0.0000 3.1920 0.0000
0.0000 0.0000 16.6914
```

- Space-group type: No. 123
- Total magnetic moment: 0.00 μB/f.u.
- ΔH_f (0 K): -290.4 meV/atom
- Crystal system: tetragonal
- Calculated volume: 170 Å³ per cell
- Raw total energy: -3.293 eV per atom

Record 8
# ZrZnAu3

A relaxed ZrZnAu3 crystal (PBE-GGA, Alexandria via LeMat-Bulk). Values from VASP.

The structure in Quantum ESPRESSO input format:
```
&SYSTEM
  ibrav = 0, nat = 5, ntyp = 3
/
ATOMIC_SPECIES
Zr 91.22 Zr.upf
Zn 65.41 Zn.upf
Au 196.97 Au.upf
ATOMIC_POSITIONS angstrom
Zr 0.0000 0.0000 0.0000
Zn 2.6552 2.6552 2.6552
Au 0.0000 0.0000 2.6552
Au 0.0000 2.6552 0.0000
Au 2.6552 0.0000 0.0000
CELL_PARAMETERS angstrom
5.3104 0.0000 0.0000
0.0000 5.3104 0.0000
0.0000 0.0000 5.3104
```

- Space-group type: No. 221
- Total magnetic moment: 0.00 μB/f.u.
- ΔH_f (0 K): 685.4 meV/atom
- Crystal system: cubic
- Calculated volume: 150 Å³ per cell
- Raw total energy: -3.245 eV per atom
- Distance to the lowest polymorph of the same formula: 1034 meV per atom

Record 9
# ZrZn3Au

A relaxed ZrZn3Au crystal (PBE-GGA, Alexandria via LeMat-Bulk). Values from VASP.

The structure in Quantum ESPRESSO input format:
```
&SYSTEM
  ibrav = 0, nat = 10, ntyp = 3
/
ATOMIC_SPECIES
Zr 91.22 Zr.upf
Zn 65.41 Zn.upf
Au 196.97 Au.upf
ATOMIC_POSITIONS angstrom
Zr 0.7765 0.8579 1.0660
Zr 4.5641 2.5738 5.9519
Zn -0.6871 0.8579 4.5743
Zn 0.3688 2.5738 6.2737
Zn 1.1483 2.5738 3.4956
Zn 4.1923 0.8579 3.5224
Zn 4.9718 0.8579 0.7442
Zn 6.0277 2.5738 2.4436
Au 2.1936 0.8579 5.2589
Au 3.1469 2.5738 1.7591
CELL_PARAMETERS angstrom
7.2435 0.0000 0.0000
0.0000 3.4317 0.0000
-1.9029 0.0000 7.0179
```

- Space-group type: No. 11
- Total magnetic moment: 0.00 μB/f.u.
- ΔH_f (0 K): -237.6 meV/atom
- Crystal system: monoclinic
- Calculated volume: 174 Å³ per cell
- Raw total energy: -3.367 eV per atom
- Distance to the lowest polymorph of the same formula: 0 meV per atom

Record 10
# Zr2Zn5Au3

A relaxed Zr2Zn5Au3 crystal (PBE-GGA, Alexandria via LeMat-Bulk). Values from VASP.

The structure in Quantum ESPRESSO input format:
```
&SYSTEM
  ibrav = 0, nat = 20, ntyp = 3
/
ATOMIC_SPECIES
Zr 91.22 Zr.upf
Zn 65.41 Zn.upf
Au 196.97 Au.upf
ATOMIC_POSITIONS angstrom
Zr 2.1904 12.3505 3.2000
Zr 2.1904 4.3649 3.1883
Zr 2.1904 -4.3649 6.3883
Zr 2.1904 -12.3505 0.0000
Zn 2.1904 9.8688 5.1027
Zn 2.1904 7.4303 1.9238
Zn 2.1904 7.4405 4.5342
Zn 2.1904 3.1496 6.3650
Zn 2.1904 1.2601 4.5603
Zn 2.1904 -1.2601 1.3603
Zn 2.1904 -3.1496 3.1650
Zn 2.1904 -7.4405 1.3342
Zn 2.1904 -7.4303 5.1238
Zn 2.1904 -9.8688 1.9027
Au 2.1904 9.9389 1.3948
Au 2.1904 5.7313 0.0318
Au 2.1904 1.3092 1.8556
Au 2.1904 -1.3092 5.0555
Au 2.1904 -5.7313 3.2317
Au 2.1904 -9.9389 4.5948
CELL_PARAMETERS angstrom
2.1904 -12.5592 0.0000
2.1904 12.5592 0.0000
0.0000 0.0000 6.3999
```

- Space-group type: No. 36
- Total magnetic moment: 0.00 μB/f.u.
- ΔH_f (0 K): -308.2 meV/atom
- Crystal system: orthorhombic
- Calculated volume: 352 Å³ per cell
- Raw total energy: -3.638 eV per atom

Record 11
# Zr2ZnAu

A relaxed Zr2ZnAu crystal (PBE-GGA, Alexandria via LeMat-Bulk). Values from VASP.

The structure in Quantum ESPRESSO input format:
```
&SYSTEM
  ibrav = 0, nat = 4, ntyp = 3
/
ATOMIC_SPECIES
Zr 91.22 Zr.upf
Zn 65.41 Zn.upf
Au 196.97 Au.upf
ATOMIC_POSITIONS angstrom
Zr 0.0000 0.0000 1.9008
Zr 0.0000 0.0000 5.9453
Zn 1.5697 1.5697 0.0000
Au 1.5697 1.5697 3.9231
CELL_PARAMETERS angstrom
3.1395 0.0000 0.0000
0.0000 3.1395 0.0000
0.0000 0.0000 7.8461
```

- Space-group type: No. 123
- Total magnetic moment: 0.00 μB/f.u.
- ΔH_f (0 K): -366.1 meV/atom
- Crystal system: tetragonal
- Calculated volume: 77 Å³ per cell
- Raw total energy: -5.778 eV per atom

Record 12
# Zr3Zn4Au2

A relaxed Zr3Zn4Au2 crystal (PBE-GGA, Alexandria via LeMat-Bulk). Values from VASP.

The structure in Quantum ESPRESSO input format:
```
&SYSTEM
  ibrav = 0, nat = 9, ntyp = 3
/
ATOMIC_SPECIES
Zr 91.22 Zr.upf
Zn 65.41 Zn.upf
Au 196.97 Au.upf
ATOMIC_POSITIONS angstrom
Zr 0.0000 0.0000 0.0000
Zr 1.7992 0.0000 2.3658
Zr 3.5588 0.0000 4.7611
Zn -1.1987 0.0000 2.8334
Zn -1.5284 0.0000 6.7916
Zn 6.8864 0.0000 0.3354
Zn 6.5567 0.0000 4.2935
Au 0.5691 0.0000 5.1553
Au 4.7889 0.0000 1.9717
CELL_PARAMETERS angstrom
4.9355 -2.2759 0.0000
4.9355 2.2759 0.0000
-4.5129 0.0000 7.1269
```

- Space-group type: No. 12
- Total magnetic moment: 0.00 μB/f.u.
- ΔH_f (0 K): -400.7 meV/atom
- Crystal system: monoclinic
- Calculated volume: 160 Å³ per cell
- Raw total energy: -4.545 eV per atom